{
  "formula": "Ac2Ni2Cl2O5",
  "functional": "GGA+U",
  "state": "relaxed",
  "lattice_angstrom": [[-2.033, 2.033, 12.395], [2.033, -2.033, 12.395], [2.033, 2.033, -12.395]],
  "species": ["Ac", "Ac", "Ni", "Ni", "Cl", "Cl", "O", "O", "O", "O", "O"],
  "fractional_positions": [[0.151, 0.151, 0.000], [0.849, 0.849, 0.000], [0.425, 0.425, 0.000], [0.575, 0.575, 0.000], [0.292, 0.292, 0.000], [0.708, 0.708, 0.000], [0.097, 0.597, 0.500], [0.403, 0.903, 0.500], [0.500, 0.500, 0.000], [0.597, 0.097, 0.500], [0.903, 0.403, 0.500]],
  "total_magnetization_mub_per_fu": 4.92,
  "total_energy_ev_per_atom": -5.615
}